No. 1
# PBE-GGA TlTc2Au, optimized geometry
# - uncorrected energy (eV/atom) = -6.2007
# - magnetic moment (μB per formula unit) = 0.000
# - volume (Å³ per cell) = 215
# - formation energy (kJ per mole of atoms) = 38
data_TlTc2Au
_chemical_formula_sum 'Tl3 Tc6 Au3'
_space_group_name_H-M_alt 'R 3 m'
_space_group_IT_number 160
_space_group_name_Hall 'R 3 -2"'
_cell_length_a 2.9115
_cell_length_b 2.9115
_cell_length_c 29.2445
_cell_angle_alpha 90.00
_cell_angle_beta 90.00
_cell_angle_gamma 120.00
loop_
_atom_site_label
_atom_site_fract_x
_atom_site_fract_y
_atom_site_fract_z
Tl1 0.0000 0.0000 0.0000
Tc1 0.0000 0.0000 0.4884
Tc2 0.0000 0.0000 0.7537
Au1 0.0000 0.0000 0.2373



No. 2
# PBE-GGA LiTbIn4, optimized geometry
# - uncorrected energy (eV/atom) = -3.0754
# - magnetic moment (μB per formula unit) = 0.000
# - volume (Å³ per cell) = 619
# - formation energy (kJ per mole of atoms) = -15
data_LiTbIn4
_chemical_formula_sum 'Li4 Tb4 In16'
_space_group_name_H-M_alt 'F -4 3 m'
_space_group_IT_number 216
_space_group_name_Hall 'F -4 2 3'
_cell_length_a 8.521
_cell_length_b 8.521
_cell_length_c 8.521
_cell_angle_alpha 90.00
_cell_angle_beta 90.00
_cell_angle_gamma 90.00
loop_
_atom_site_label
_atom_site_fract_x
_atom_site_fract_y
_atom_site_fract_z
Li1 0.000 0.000 0.000
Tb1 0.250 0.250 0.750
In1 0.125 0.125 0.375



No. 3
# PBE-GGA Zn2RePt, optimized geometry
# - uncorrected energy (eV/atom) = -5.1035
# - magnetic moment (μB per formula unit) = 0.005
# - volume (Å³ per cell) = 118
# - formation energy (kJ per mole of atoms) = 15
data_Zn2RePt
_chemical_formula_sum 'Zn4 Re2 Pt2'
_space_group_name_H-M_alt 'I -4 m 2'
_space_group_IT_number 119
_space_group_name_Hall 'I -4 -2'
_cell_length_a 3.889
_cell_length_b 3.889
_cell_length_c 7.773
_cell_angle_alpha 90.00
_cell_angle_beta 90.00
_cell_angle_gamma 90.00
loop_
_atom_site_label
_atom_site_fract_x
_atom_site_fract_y
_atom_site_fract_z
Zn1 0.000 0.000 0.000
Zn2 0.000 0.500 0.250
Re1 0.000 0.000 0.500
Pt1 0.000 0.500 0.750



No. 4
# PBE-GGA FeOs, optimized geometry
# - uncorrected energy (eV/atom) = -8.5573
# - magnetic moment (μB per formula unit) = 2.089
# - volume (Å³ per cell) = 116
# - formation energy (kJ per mole of atoms) = 124
data_FeOs
_chemical_formula_sum 'Fe4 Os4'
_space_group_name_H-M_alt 'F m -3 m'
_space_group_IT_number 225
_space_group_name_Hall '-F 4 2 3'
_cell_length_a 4.879
_cell_length_b 4.879
_cell_length_c 4.879
_cell_angle_alpha 90.00
_cell_angle_beta 90.00
_cell_angle_gamma 90.00
loop_
_atom_site_label
_atom_site_fract_x
_atom_site_fract_y
_atom_site_fract_z
Fe1 0.000 0.000 0.000
Os1 0.000 0.000 0.500



No. 5
# PBE-GGA AcGa4Pt3, optimized geometry
# - uncorrected energy (eV/atom) = -5.1099
# - magnetic moment (μB per formula unit) = 0.000
# - volume (Å³ per cell) = 160
# - formation energy (kJ per mole of atoms) = -79
data_AcGa4Pt3
_chemical_formula_sum 'Ac1 Ga4 Pt3'
_space_group_name_H-M_alt 'P 4/m m m'
_space_group_IT_number 123
_space_group_name_Hall '-P 4 2'
_cell_length_a 4.343
_cell_length_b 4.343
_cell_length_c 8.457
_cell_angle_alpha 90.00
_cell_angle_beta 90.00
_cell_angle_gamma 90.00
loop_
_atom_site_label
_atom_site_fract_x
_atom_site_fract_y
_atom_site_fract_z
Ac1 0.000 0.000 0.000
Ga1 0.000 0.500 0.330
Pt1 0.000 0.000 0.500
Pt2 0.500 0.500 0.165



No. 6
# PBE-GGA K4Np3PaS8, optimized geometry
# - uncorrected energy (eV/atom) = -6.7929
# - magnetic moment (μB per formula unit) = 14.001
# - volume (Å³ per cell) = 1271
# - energy relative to the elements, uncorrected (eV/f.u.) = -22.96
data_K4Np3PaS8
_chemical_formula_sum 'K12 Np9 Pa3 S24'
_space_group_name_H-M_alt 'R -3 m'
_space_group_IT_number 166
_space_group_name_Hall '-R 3 2"'
_cell_length_a 8.1352
_cell_length_b 8.1352
_cell_length_c 22.1798
_cell_angle_alpha 90.00
_cell_angle_beta 90.00
_cell_angle_gamma 120.00
loop_
_atom_site_label
_atom_site_fract_x
_atom_site_fract_y
_atom_site_fract_z
K1 0.0000 0.0000 0.0000
K2 0.0000 0.5000 0.0000
Np1 0.0000 0.5000 0.5000
Pa1 0.0000 0.0000 0.5000
S1 0.0000 0.0000 0.2336
S2 0.0051 0.5026 0.2344